w:
# Ba2Cd2Cu | the Alexandria database | PBE-GGA | optimized geometry
# D(E_F) in states/eV/cell: 6.54
# Spin magnetization in μB/cell: 0.001
data_Ba2Cd2Cu
_cell_length_a 6.775
_cell_length_b 6.775
_cell_length_c 6.263
_cell_angle_alpha 57.25
_cell_angle_beta 57.25
_cell_angle_gamma 90.00
_symmetry_space_group_name_H-M 'P 1'
_symmetry_Int_Tables_number 1
loop_
_symmetry_equiv_pos_as_xyz
'x,y,z'
loop_
_atom_site_label
_atom_site_fract_x
_atom_site_fract_y
_atom_site_fract_z
Ba1 0.750 0.250 0.500
Ba2 0.250 0.750 0.500
Cu1 0.000 0.000 0.000
Cd1 0.331 0.331 0.339
Cd2 0.669 0.669 0.661

---

x:
# Ba2Cd2Cu | the Alexandria database | PBE-GGA | optimized geometry
# D(E_F) in states/eV/cell: 4.68
# Spin magnetization in μB/cell: 0.000
data_Ba2Cd2Cu
_cell_length_a 4.157
_cell_length_b 4.157
_cell_length_c 10.453
_cell_angle_alpha 78.53
_cell_angle_beta 78.53
_cell_angle_gamma 90.00
_symmetry_space_group_name_H-M 'P 1'
_symmetry_Int_Tables_number 1
loop_
_symmetry_equiv_pos_as_xyz
'x,y,z'
loop_
_atom_site_label
_atom_site_fract_x
_atom_site_fract_y
_atom_site_fract_z
Ba1 0.406 0.406 0.189
Ba2 0.594 0.594 0.811
Cu1 0.000 0.000 0.000
Cd1 0.750 0.250 0.500
Cd2 0.250 0.750 0.500

---

x (81 meV/atom below the next structure)

---

w:
# Ba2CdCuH | the Alexandria database | PBE-GGA | optimized geometry
# D(E_F) in states/eV/cell: 3.23
# Spin magnetization in μB/cell: 0.000
data_Ba2CdCuH
_cell_length_a 5.847
_cell_length_b 5.847
_cell_length_c 4.012
_cell_angle_alpha 90.00
_cell_angle_beta 90.00
_cell_angle_gamma 90.00
_symmetry_space_group_name_H-M 'P 1'
_symmetry_Int_Tables_number 1
loop_
_symmetry_equiv_pos_as_xyz
'x,y,z'
loop_
_atom_site_label
_atom_site_fract_x
_atom_site_fract_y
_atom_site_fract_z
H1 0.000 0.000 0.000
Ba1 0.000 0.500 0.000
Ba2 0.500 0.000 0.000
Cu1 0.000 0.000 0.500
Cd1 0.500 0.500 0.500

---

x:
# Ba2CdCuH | the Alexandria database | PBE-GGA | optimized geometry
# D(E_F) in states/eV/cell: 3.52
# Spin magnetization in μB/cell: 0.000
data_Ba2CdCuH
_cell_length_a 5.593
_cell_length_b 5.593
_cell_length_c 4.468
_cell_angle_alpha 90.00
_cell_angle_beta 90.00
_cell_angle_gamma 90.00
_symmetry_space_group_name_H-M 'P 1'
_symmetry_Int_Tables_number 1
loop_
_symmetry_equiv_pos_as_xyz
'x,y,z'
loop_
_atom_site_label
_atom_site_fract_x
_atom_site_fract_y
_atom_site_fract_z
H1 0.000 0.000 0.000
Ba1 0.000 0.500 0.000
Ba2 0.500 0.000 0.000
Cu1 0.500 0.500 0.500
Cd1 0.000 0.000 0.500

---

w (57 meV/atom below the next structure)

---

w:
# BaCd2CuSn | the Alexandria database | PBE-GGA | optimized geometry
# D(E_F) in states/eV/cell: 3.11
# Spin magnetization in μB/cell: 0.000
data_BaCd2CuSn
_cell_length_a 5.155
_cell_length_b 5.155
_cell_length_c 5.260
_cell_angle_alpha 90.00
_cell_angle_beta 90.00
_cell_angle_gamma 90.00
_symmetry_space_group_name_H-M 'P 1'
_symmetry_Int_Tables_number 1
loop_
_symmetry_equiv_pos_as_xyz
'x,y,z'
loop_
_atom_site_label
_atom_site_fract_x
_atom_site_fract_y
_atom_site_fract_z
Cd1 0.000 0.500 0.000
Cd2 0.500 0.000 0.000
Ba1 0.500 0.500 0.500
Cu1 0.000 0.000 0.000
Sn1 0.000 0.000 0.500

---

x:
# BaCd2CuSn | the Alexandria database | PBE-GGA | optimized geometry
# D(E_F) in states/eV/cell: 4.74
# Spin magnetization in μB/cell: 0.000
data_BaCd2CuSn
_cell_length_a 6.341
_cell_length_b 5.454
_cell_length_c 6.341
_cell_angle_alpha 90.00
_cell_angle_beta 90.00
_cell_angle_gamma 90.00
_symmetry_space_group_name_H-M 'P 1'
_symmetry_Int_Tables_number 1
loop_
_symmetry_equiv_pos_as_xyz
'x,y,z'
loop_
_atom_site_label
_atom_site_fract_x
_atom_site_fract_y
_atom_site_fract_z
Cd1 0.000 0.000 0.500
Cd2 0.500 0.000 0.000
Ba1 0.000 0.000 0.000
Cu1 0.000 0.500 0.000
Sn1 0.500 0.500 0.500

---

w (1104 meV/atom below the next structure)

---

w:
# BaDy2Cd | the Alexandria database | PBE-GGA | optimized geometry
# D(E_F) in states/eV/cell: 5.23
# Spin magnetization in μB/cell: 0.000
data_BaDy2Cd
_cell_length_a 3.813
_cell_length_b 3.813
_cell_length_c 9.619
_cell_angle_alpha 90.00
_cell_angle_beta 90.00
_cell_angle_gamma 90.00
_symmetry_space_group_name_H-M 'P 1'
_symmetry_Int_Tables_number 1
loop_
_symmetry_equiv_pos_as_xyz
'x,y,z'
loop_
_atom_site_label
_atom_site_fract_x
_atom_site_fract_y
_atom_site_fract_z
Cd1 0.500 0.500 0.000
Ba1 0.500 0.500 0.500
Dy1 0.000 0.000 0.817
Dy2 0.000 0.000 0.183

---

x:
# BaDy2Cd | the Alexandria database | PBE-GGA | optimized geometry
# D(E_F) in states/eV/cell: 4.94
# Spin magnetization in μB/cell: 0.231
data_BaDy2Cd
_cell_length_a 3.632
_cell_length_b 3.632
_cell_length_c 12.320
_cell_angle_alpha 81.52
_cell_angle_beta 81.52
_cell_angle_gamma 60.00
_symmetry_space_group_name_H-M 'P 1'
_symmetry_Int_Tables_number 1
loop_
_symmetry_equiv_pos_as_xyz
'x,y,z'
loop_
_atom_site_label
_atom_site_fract_x
_atom_site_fract_y
_atom_site_fract_z
Cd1 0.500 0.500 0.500
Ba1 0.000 0.000 0.000
Dy1 0.100 0.100 0.700
Dy2 0.900 0.900 0.300

---

w (172 meV/atom below the next structure)

---

w:
# BaErCd2 | the Alexandria database | PBE-GGA | optimized geometry
# D(E_F) in states/eV/cell: 2.68
# Spin magnetization in μB/cell: 0.000
data_BaErCd2
_cell_length_a 5.620
_cell_length_b 5.620
_cell_length_c 5.620
_cell_angle_alpha 60.00
_cell_angle_beta 60.00
_cell_angle_gamma 60.00
_symmetry_space_group_name_H-M 'P 1'
_symmetry_Int_Tables_number 1
loop_
_symmetry_equiv_pos_as_xyz
'x,y,z'
loop_
_atom_site_label
_atom_site_fract_x
_atom_site_fract_y
_atom_site_fract_z
Cd1 0.250 0.250 0.250
Cd2 0.750 0.750 0.750
Ba1 0.500 0.500 0.500
Er1 0.000 0.000 0.000

---

x:
# BaErCd2 | the Alexandria database | PBE-GGA | optimized geometry
# D(E_F) in states/eV/cell: 3.94
# Spin magnetization in μB/cell: 0.000
data_BaErCd2
_cell_length_a 3.849
_cell_length_b 3.849
_cell_length_c 10.529
_cell_angle_alpha 79.47
_cell_angle_beta 79.47
_cell_angle_gamma 60.00
_symmetry_space_group_name_H-M 'P 1'
_symmetry_Int_Tables_number 1
loop_
_symmetry_equiv_pos_as_xyz
'x,y,z'
loop_
_atom_site_label
_atom_site_fract_x
_atom_site_fract_y
_atom_site_fract_z
Cd1 0.741 0.741 0.778
Cd2 0.259 0.259 0.222
Ba1 0.500 0.500 0.500
Er1 0.000 0.000 0.000

---

w (120 meV/atom below the next structure)

---

w:
# BaErCd2 | the Alexandria database | PBE-GGA | optimized geometry
# D(E_F) in states/eV/cell: 1.90
# Spin magnetization in μB/cell: 0.000
data_BaErCd2
_cell_length_a 3.868
_cell_length_b 5.666
_cell_length_c 5.666
_cell_angle_alpha 90.00
_cell_angle_beta 90.00
_cell_angle_gamma 90.00
_symmetry_space_group_name_H-M 'P 1'
_symmetry_Int_Tables_number 1
loop_
_symmetry_equiv_pos_as_xyz
'x,y,z'
loop_
_atom_site_label
_atom_site_fract_x
_atom_site_fract_y
_atom_site_fract_z
Cd1 0.000 0.000 0.500
Cd2 0.000 0.500 0.000
Ba1 0.500 0.500 0.500
Er1 0.500 0.000 0.000

---

x:
# BaErCd2 | the Alexandria database | PBE-GGA | optimized geometry
# D(E_F) in states/eV/cell: 2.57
# Spin magnetization in μB/cell: 0.000
data_BaErCd2
_cell_length_a 3.897
_cell_length_b 3.897
_cell_length_c 8.191
_cell_angle_alpha 90.00
_cell_angle_beta 90.00
_cell_angle_gamma 90.00
_symmetry_space_group_name_H-M 'P 1'
_symmetry_Int_Tables_number 1
loop_
_symmetry_equiv_pos_as_xyz
'x,y,z'
loop_
_atom_site_label
_atom_site_fract_x
_atom_site_fract_y
_atom_site_fract_z
Cd1 0.000 0.000 0.799
Cd2 0.000 0.000 0.201
Ba1 0.500 0.500 0.500
Er1 0.500 0.500 0.000

---

x (96 meV/atom below the next structure)